The following is a DFT calculation (PBE) of ScNiPt after structural relaxation.

```
data_ScNiPt
_chemical_formula_sum 'Sc1 Ni1 Pt1'
_space_group_name_H-M_alt 'P 3 m 1'
_space_group_IT_number 156
_space_group_name_Hall 'P 3 -2"'
_cell_length_a 4.3268
_cell_length_b 4.3268
_cell_length_c 2.8706
_cell_angle_alpha 90.00
_cell_angle_beta 90.00
_cell_angle_gamma 120.00
loop_
_atom_site_label
_atom_site_type_symbol
_atom_site_fract_x
_atom_site_fract_y
_atom_site_fract_z
_atom_site_occupancy
Sc1 Sc 0.0000 0.0000 0.0000 1
Ni1 Ni 0.3333 0.6667 0.2884 1
Pt1 Pt 0.6667 0.3333 0.6033 1
```

Results
The total DFT energy (no corrections) comes out at -6.67 eV per atom.